Material: CdAuI4
Method: DFT, PBE
State: optimized geometry

Cell: 7.264 4.462 15.483 Å, 90.00 112.09 90.00°
Fractional coordinates of all 12 atoms:
Cd 0.000 0.000 0.000
Cd 0.000 0.500 0.500
Au 0.500 0.000 0.500
Au 0.500 0.500 0.000
I 0.219 0.111 0.878
I 0.219 0.389 0.378
I 0.283 0.006 0.616
I 0.283 0.494 0.116
I 0.717 0.506 0.884
I 0.717 0.994 0.384
I 0.781 0.611 0.622
I 0.781 0.889 0.122

Output
**Electronic total energy**: -1.99 eV per atom
**Energy relative to the elements, uncorrected**: -0.25 eV per atom
**Symmetry**: P2_1/c

---

Material: ThGa3Tc3
Method: DFT, PBE
State: optimized geometry

Cell: 6.755 6.755 6.755 Å, 90.00 90.00 90.00°
Fractional coordinates of all 14 atoms:
Th 0.000 0.000 0.000
Th 0.500 0.500 0.500
Ga 0.000 0.250 0.500
Ga 0.000 0.750 0.500
Ga 0.250 0.500 0.000
Ga 0.500 0.000 0.250
Ga 0.500 0.000 0.750
Ga 0.750 0.500 0.000
Tc 0.000 0.500 0.250
Tc 0.000 0.500 0.750
Tc 0.250 0.000 0.500
Tc 0.500 0.250 0.000
Tc 0.500 0.750 0.000
Tc 0.750 0.000 0.500

Output
**Electronic total energy**: -6.12 eV per atom
**Symmetry**: Pm-3n

---

Material: ScCrAu
Method: DFT, PBE
State: optimized geometry

Cell: 4.565 4.565 3.079 Å, 90.00 90.00 120.00°
Fractional coordinates of all 3 atoms:
Sc 0.000 0.000 0.000
Cr 0.333 0.667 0.610
Au 0.667 0.333 0.389

Output
**Electronic total energy**: -6.45 eV per atom
**Symmetry**: P3m1

---

Material: RbVInBr6
Method: DFT, PBE
State: optimized geometry

Cell: 7.010 7.010 15.401 Å, 90.00 90.00 120.00°
Fractional coordinates of all 18 atoms:
Rb 0.000 0.000 0.000
Rb 0.000 0.000 0.500
V 0.333 0.667 0.250
V 0.667 0.333 0.750
In 0.333 0.667 0.750
In 0.667 0.333 0.250
Br 0.015 0.377 0.151
Br 0.015 0.637 0.349
Br 0.363 0.377 0.349
Br 0.363 0.985 0.151
Br 0.377 0.015 0.651
Br 0.377 0.363 0.849
Br 0.623 0.637 0.151
Br 0.623 0.985 0.349
Br 0.637 0.015 0.849
Br 0.637 0.623 0.651
Br 0.985 0.363 0.651
Br 0.985 0.623 0.849

Output
**Electronic total energy**: -3.59 eV per atom
**Energy relative to the elements, uncorrected**: -1.05 eV per atom
**Symmetry**: P-31c

---

Material: KZrNiS3
Method: DFT, PBE
State: optimized geometry

Cell: 8.583 3.728 9.099 Å, 90.00 112.13 90.00°
Fractional coordinates of all 12 atoms:
K 0.217 0.250 0.244
K 0.783 0.750 0.756
Zr 0.311 0.750 0.836
Zr 0.689 0.250 0.164
Ni 0.089 0.250 0.594
Ni 0.911 0.750 0.406
S 0.117 0.250 0.858
S 0.198 0.750 0.532
S 0.469 0.750 0.153
S 0.531 0.250 0.847
S 0.802 0.250 0.468
S 0.883 0.750 0.142

Output
**Electronic total energy**: -5.88 eV per atom
**Energy relative to the elements, uncorrected**: -1.25 eV per atom
**Symmetry**: P2_1/m

---

Material: Li2CrBr
Method: DFT, PBE
State: optimized geometry

Cell: 5.604 5.604 5.604 Å, 136.83 136.83 62.69°
Fractional coordinates of all 4 atoms:
Li 0.250 0.750 0.500
Li 0.750 0.250 0.500
Cr 0.000 0.000 0.000
Br 0.500 0.500 0.000

Output
**Electronic total energy**: -3.60 eV per atom
**Energy relative to the elements, uncorrected**: 0.18 eV per atom
**Symmetry**: I4/mmm

---

Q: electronic total energy of number 6 (Li2CrBr)?
A: -3.60 eV per atom

---

Q: Number 6 is which compound?
A: Li2CrBr

---

Q: The highest electronic total energy belongs to which entry?
A: CdAuI4

---

Repeat the sixth record exactly.
Material: Li2CrBr
Method: DFT, PBE
State: optimized geometry

Cell: 5.604 5.604 5.604 Å, 136.83 136.83 62.69°
Fractional coordinates of all 4 atoms:
Li 0.250 0.750 0.500
Li 0.750 0.250 0.500
Cr 0.000 0.000 0.000
Br 0.500 0.500 0.000

Output
**Electronic total energy**: -3.60 eV per atom
**Energy relative to the elements, uncorrected**: 0.18 eV per atom
**Symmetry**: I4/mmm